A geometry-optimized Ce2PaC3 structure, computed with GGA-PBE. Values from VASP.

Results
The density of states at the Fermi level is 11.83 states/eV/cell. The polymorph energy (0 for the lowest one) is 3 meV/atom. As for the symmetry: C2/c (15). Its formation energy is -0.22 eV per atom.

```
&SYSTEM
  ibrav = 0, nat = 12, ntyp = 3
/
ATOMIC_SPECIES
C 12.01 C.upf
Ce 140.12 Ce.upf
Pa 231.04 Pa.upf
CELL_PARAMETERS angstrom
6.307 0.174 0.299
-1.229 6.194 -0.215
-1.229 -3.257 5.273
ATOMIC_POSITIONS crystal
C 0.000 0.500 0.000
C 0.497 0.648 0.800
C 0.997 0.800 0.648
C 0.500 0.000 0.500
C 0.003 0.200 0.352
C 0.503 0.352 0.200
Ce 0.250 0.918 0.082
Ce 0.750 0.082 0.918
Ce 0.250 0.250 0.750
Ce 0.750 0.750 0.250
Pa 0.250 0.584 0.416
Pa 0.750 0.416 0.584
```